DFT (PBE-GGA) results for Al2InOsS after structural relaxation.

It has space group P4/mmm (No. 123), with a = 4.720 Å, b = 4.720 Å, c = 5.213 Å, α = 90.00°, β = 90.00° and γ = 90.00°. Symmetry generates all atoms from Al at (0.000, 0.500, 0.000), In at (0.000, 0.000, 0.500), Os at (0.000, 0.000, 0.000) and S at (0.500, 0.500, 0.500).

The calculation puts the formation energy without anion corrections at 0.3023 eV per atom.


DFT (PBE-GGA) results for CaPrDyAg after structural relaxation.

It has space group P4mm (No. 99), with a = 3.637 Å, b = 3.637 Å, c = 9.292 Å, α = 90.00°, β = 90.00° and γ = 90.00°. Symmetry generates all atoms from Ca at (0.000, 0.000, 0.000), Pr at (0.500, 0.500, 0.325), Dy at (0.000, 0.000, 0.599) and Ag at (0.500, 0.500, 0.786).

The total DFT energy (no corrections) comes out at -0.1357 Ha/atom.